*1*
Below is crystalline KSnAsO5 at its relaxed geometry, with properties calculated at the PBE-GGA level.

a = 5.986 Å, b = 5.986 Å, c = 7.426 Å
α = 104.90°, β = 104.90°, γ = 105.79°
Element x y z (fractional)
K 0.162 0.838 0.750
K 0.838 0.162 0.250
Sn 0.500 0.500 0.000
Sn 0.500 0.500 0.500
As 0.191 0.809 0.250
As 0.809 0.191 0.750
O 0.105 0.269 0.915
O 0.195 0.609 0.382
O 0.269 0.105 0.415
O 0.391 0.805 0.118
O 0.429 0.571 0.750
O 0.571 0.429 0.250
O 0.609 0.195 0.882
O 0.731 0.895 0.585
O 0.805 0.391 0.618
O 0.895 0.731 0.085

*2*
Below is crystalline KSnAsO5 at its relaxed geometry, with properties calculated at the PBE-GGA level.

a = 13.703 Å, b = 6.820 Å, c = 11.139 Å
α = 90.00°, β = 90.00°, γ = 90.00°
Element x y z (fractional)
K 0.112 0.190 0.000
K 0.130 0.775 0.737
K 0.370 0.275 0.237
K 0.388 0.690 0.500
K 0.612 0.310 0.000
K 0.630 0.725 0.737
K 0.870 0.225 0.237
K 0.888 0.810 0.500
Sn 0.126 0.500 0.437
Sn 0.250 0.254 0.689
Sn 0.250 0.754 0.189
Sn 0.374 0.000 0.937
Sn 0.626 0.000 0.437
Sn 0.750 0.246 0.689
Sn 0.750 0.746 0.189
Sn 0.874 0.500 0.937
As 0.002 0.666 0.186
As 0.177 0.002 0.440
As 0.323 0.502 0.940
As 0.498 0.166 0.686
As 0.502 0.834 0.186
As 0.677 0.498 0.440
As 0.823 0.998 0.940
As 0.998 0.334 0.686
O 0.010 0.495 0.568
O 0.011 0.517 0.311
O 0.097 0.183 0.709
O 0.100 0.808 0.467
O 0.100 0.821 0.164
O 0.101 0.197 0.412
O 0.223 0.475 0.573
O 0.233 0.545 0.316
O 0.241 0.470 0.825
O 0.247 0.523 0.063
O 0.253 0.023 0.563
O 0.259 0.970 0.325
O 0.267 0.045 0.816
O 0.277 0.975 0.073
O 0.399 0.697 0.912
O 0.400 0.308 0.967
O 0.400 0.321 0.664
O 0.403 0.683 0.209
O 0.489 0.017 0.811
O 0.490 0.995 0.068
O 0.510 0.005 0.568
O 0.511 0.983 0.311
O 0.597 0.317 0.709
O 0.600 0.679 0.164
O 0.600 0.692 0.467
O 0.601 0.303 0.412
O 0.723 0.025 0.573
O 0.733 0.955 0.316
O 0.741 0.030 0.825
O 0.747 0.977 0.063
O 0.753 0.477 0.563
O 0.759 0.530 0.325
O 0.767 0.455 0.816
O 0.777 0.525 0.073
O 0.899 0.803 0.912
O 0.900 0.179 0.664
O 0.900 0.192 0.967
O 0.903 0.817 0.209
O 0.989 0.483 0.811
O 0.990 0.505 0.068

Short version: *2*, *1*, most stable first.

*1*
Below is crystalline KTiAsO5 at its relaxed geometry, with properties calculated at the PBE-GGA level.

a = 13.350 Å, b = 6.678 Å, c = 10.917 Å
α = 90.00°, β = 90.00°, γ = 90.00°
Element x y z (fractional)
K 0.109 0.202 0.000
K 0.125 0.779 0.743
K 0.375 0.279 0.243
K 0.391 0.702 0.500
K 0.609 0.298 0.000
K 0.625 0.721 0.743
K 0.875 0.221 0.243
K 0.891 0.798 0.500
Ti 0.128 0.507 0.436
Ti 0.246 0.767 0.185
Ti 0.254 0.267 0.685
Ti 0.372 0.007 0.936
Ti 0.628 0.993 0.436
Ti 0.746 0.733 0.185
Ti 0.754 0.233 0.685
Ti 0.872 0.493 0.936
As 0.002 0.332 0.693
As 0.180 0.009 0.444
As 0.320 0.509 0.944
As 0.498 0.832 0.193
As 0.502 0.168 0.693
As 0.680 0.491 0.444
As 0.820 0.991 0.944
As 0.998 0.668 0.193
O 0.007 0.534 0.328
O 0.013 0.503 0.579
O 0.100 0.825 0.170
O 0.105 0.210 0.414
O 0.106 0.183 0.713
O 0.107 0.806 0.480
O 0.217 0.563 0.321
O 0.219 0.452 0.571
O 0.239 0.540 0.067
O 0.241 0.469 0.821
O 0.259 0.969 0.321
O 0.261 0.040 0.567
O 0.281 0.952 0.071
O 0.283 0.063 0.821
O 0.393 0.306 0.980
O 0.394 0.683 0.213
O 0.395 0.710 0.914
O 0.400 0.325 0.670
O 0.487 0.003 0.079
O 0.493 0.034 0.828
O 0.507 0.966 0.328
O 0.513 0.997 0.579
O 0.600 0.675 0.170
O 0.605 0.290 0.414
O 0.606 0.317 0.713
O 0.607 0.694 0.480
O 0.717 0.937 0.321
O 0.719 0.048 0.571
O 0.739 0.960 0.067
O 0.741 0.031 0.821
O 0.759 0.531 0.321
O 0.761 0.460 0.567
O 0.781 0.548 0.071
O 0.783 0.437 0.821
O 0.893 0.194 0.980
O 0.894 0.817 0.213
O 0.895 0.790 0.914
O 0.900 0.175 0.670
O 0.987 0.497 0.079
O 0.993 0.466 0.828

*2*
Below is crystalline KTiAsO5 at its relaxed geometry, with properties calculated at the PBE-GGA level.

a = 5.816 Å, b = 5.816 Å, c = 7.315 Å
α = 104.69°, β = 104.69°, γ = 105.52°
Element x y z (fractional)
K 0.170 0.830 0.750
K 0.830 0.170 0.250
Ti 0.500 0.500 0.000
Ti 0.500 0.500 0.500
As 0.190 0.810 0.250
As 0.810 0.190 0.750
O 0.119 0.274 0.908
O 0.206 0.616 0.393
O 0.274 0.119 0.408
O 0.384 0.794 0.107
O 0.451 0.549 0.750
O 0.549 0.451 0.250
O 0.616 0.206 0.893
O 0.726 0.881 0.592
O 0.794 0.384 0.607
O 0.881 0.726 0.092

Short version: *1*, *2*, most stable first.

*1*
Below is crystalline KAsOs3 at its relaxed geometry, with properties calculated at the PBE-GGA level.

a = 4.674 Å, b = 4.674 Å, c = 4.674 Å
α = 90.00°, β = 90.00°, γ = 90.00°
Element x y z (fractional)
K 0.000 0.000 0.000
As 0.500 0.500 0.500
Os 0.000 0.500 0.500
Os 0.500 0.000 0.500
Os 0.500 0.500 0.000

*2*
Below is crystalline KAsOs3 at its relaxed geometry, with properties calculated at the PBE-GGA level.

a = 4.616 Å, b = 4.616 Å, c = 4.616 Å
α = 90.00°, β = 90.00°, γ = 90.00°
Element x y z (fractional)
K 0.000 0.000 0.000
As 0.500 0.500 0.500
Os 0.000 0.000 0.500
Os 0.000 0.500 0.000
Os 0.500 0.000 0.000

Short version: *1*, *2*, most stable first.

*1*
Below is crystalline KAs2Os at its relaxed geometry, with properties calculated at the PBE-GGA level.

a = 5.529 Å, b = 5.529 Å, c = 5.529 Å
α = 136.32°, β = 108.56°, γ = 87.63°
Element x y z (fractional)
K 0.000 0.000 0.000
As 0.339 0.839 0.500
As 0.661 0.161 0.500
Os 0.500 0.500 0.000

*2*
Below is crystalline KAs2Os at its relaxed geometry, with properties calculated at the PBE-GGA level.

a = 8.009 Å, b = 8.009 Å, c = 8.009 Å
α = 26.71°, β = 26.71°, γ = 26.71°
Element x y z (fractional)
K 0.000 0.000 0.000
As 0.225 0.225 0.225
As 0.775 0.775 0.775
Os 0.500 0.500 0.500

Short version: *2*, *1*, most stable first.